[1]
The following is a PBE-GGA calculation of a geometry-optimized LiZrO3 structure, from the Open Quantum Materials Database.

Structure (extended XYZ):
```
10
Lattice="2.712 1.566 4.590 -2.712 1.566 4.590 0.000 -3.131 4.590" Properties=species:S:1:pos:R:3 pbc="T T T"
Li 0.000 0.000 1.923
Li 0.000 0.000 11.848
Zr 0.000 0.000 4.896
Zr 0.000 0.000 8.875
O -1.889 -0.153 5.703
O -0.812 -1.713 8.068
O 1.077 -1.559 5.703
O -1.077 1.559 8.068
O 0.812 1.713 5.703
O 1.889 0.153 8.068
```

The total magnetization is 2.0 μB per cell. Its total energy is -73.561 eV/cell. As for the space group: R-3, No. 148. For the density, the calculation gives 4.151 Mg/m³.

[2]
The following is a PBE-GGA calculation of a geometry-optimized TmSbMo structure, from the Open Quantum Materials Database.

Structure (extended XYZ):
```
3
Lattice="0.000 3.441 3.441 3.441 0.000 3.441 3.441 3.441 0.000" Properties=species:S:1:pos:R:3 pbc="T T T"
Tm 0.000 0.000 0.000
Sb 1.720 1.720 1.720
Mo 5.161 5.161 5.161
```

The total magnetization is 3.1 μB per cell. As for the energy above the lowest structure with this stoichiometry: 599 meV per atom. Its total energy is -16.962 eV/cell. As for the space group: F-43m, No. 216. For the density, the calculation gives 7.882 Mg/m³.